# PBE with a Hubbard U Li4Ti3Mn3Sb2O16, relaxed
# Fermi-level density of states: 2.060 states/eV per cell
# Magnetic moment: 18.1 μB per cell
# VASP energy: -7.11 eV/atom
data_Li4Ti3Mn3Sb2O16
_chemical_formula_sum 'Li8 Ti6 Mn6 Sb4 O32'
_cell_length_a 10.535
_cell_length_b 6.015
_cell_length_c 9.830
_cell_angle_alpha 90.00
_cell_angle_beta 90.93
_cell_angle_gamma 90.00
_space_group_name_H-M_alt 'C 1 m 1'
_space_group_IT_number 8
loop_
_space_group_symop_operation_xyz
'x,y,z'
'x,-y,z'
'x+1/2,y+1/2,z'
'x+1/2,-y+1/2,z'
loop_
_atom_site_label
_atom_site_type_symbol
_atom_site_fract_x
_atom_site_fract_y
_atom_site_fract_z
_atom_site_occupancy
Li1 Li 0.000 0.000 0.000 1
Li2 Li 0.014 0.000 0.506 1
Li3 Li 0.176 0.500 0.085 1
Li4 Li 0.347 0.000 0.588 1
Ti1 Ti 0.332 0.500 0.770 1
Ti2 Ti 0.420 0.247 0.276 1
Mn1 Mn 0.089 0.257 0.781 1
Mn2 Mn 0.185 0.000 0.280 1
Sb1 Sb 0.169 0.500 0.503 1
Sb2 Sb 0.332 0.000 0.000 1
O1 O 0.004 0.000 0.190 1
O2 O 0.027 0.500 0.629 1
O3 O 0.090 0.249 0.388 1
O4 O 0.166 0.000 0.913 1
O5 O 0.192 0.500 0.887 1
O6 O 0.256 0.284 0.634 1
O7 O 0.273 0.225 0.152 1
O8 O 0.339 0.500 0.384 1
O9 O 0.359 0.000 0.384 1
O10 O 0.412 0.247 0.897 1
O11 O 0.484 0.000 0.151 1
O12 O 0.493 0.500 0.691 1